1.
Bi6TePd12 PBE optimized geometry; total moment = 0.000 μB/f.u.; Fermi-level density of states = 12.06 states/eV per cell; DFT total energy = -4.915 eV/atom; space group = R-3
1.0
5.923 3.419 3.262
-5.923 3.419 3.262
0.000 -6.839 3.262
Bi Te Pd
6 1 12
Direct
0.032 0.618 0.737 Bi
0.263 0.968 0.382 Bi
0.382 0.263 0.968 Bi
0.618 0.737 0.032 Bi
0.737 0.032 0.618 Bi
0.968 0.382 0.263 Bi
0.500 0.500 0.500 Te
0.023 0.317 0.905 Pd
0.095 0.977 0.683 Pd
0.210 0.335 0.604 Pd
0.317 0.905 0.023 Pd
0.335 0.604 0.210 Pd
0.396 0.790 0.665 Pd
0.604 0.210 0.335 Pd
0.665 0.396 0.790 Pd
0.683 0.095 0.977 Pd
0.790 0.665 0.396 Pd
0.905 0.023 0.317 Pd
0.977 0.683 0.095 Pd

2.
BiTe3Pd12 PBE optimized geometry; total moment = 0.000 μB/f.u.; Fermi-level density of states = 16.97 states/eV per cell; DFT total energy = -4.904 eV/atom; space group = P4/mmm
1.0
4.087 0.000 0.000
0.000 4.087 0.000
0.000 0.000 16.632
Bi Te Pd
1 3 12
Direct
0.000 0.000 0.000 Bi
0.000 0.000 0.258 Te
0.000 0.000 0.500 Te
0.000 0.000 0.742 Te
0.000 0.500 0.125 Pd
0.000 0.500 0.372 Pd
0.000 0.500 0.628 Pd
0.000 0.500 0.875 Pd
0.500 0.000 0.125 Pd
0.500 0.000 0.372 Pd
0.500 0.000 0.628 Pd
0.500 0.000 0.875 Pd
0.500 0.500 0.000 Pd
0.500 0.500 0.244 Pd
0.500 0.500 0.500 Pd
0.500 0.500 0.756 Pd

3.
BiTe2Pd2 PBE optimized geometry; total moment = 0.000 μB/f.u.; Fermi-level density of states = 4.09 states/eV per cell; DFT total energy = -4.148 eV/atom; space group = P4/mbm
1.0
8.417 0.000 0.000
0.000 8.417 0.000
0.000 0.000 3.289
Bi Te Pd
2 4 4
Direct
0.000 0.000 0.000 Bi
0.500 0.500 0.000 Bi
0.166 0.334 0.000 Te
0.334 0.834 0.000 Te
0.666 0.166 0.000 Te
0.834 0.666 0.000 Te
0.122 0.622 0.500 Pd
0.378 0.122 0.500 Pd
0.622 0.878 0.500 Pd
0.878 0.378 0.500 Pd

4.
BiTePd6 PBE optimized geometry; total moment = 0.000 μB/f.u.; Fermi-level density of states = 8.05 states/eV per cell; space group = P4/mmm; excess energy over the best structure of this formula in the dataset = 0 meV/atom
1.0
4.107 0.000 0.000
0.000 4.107 0.000
0.000 0.000 8.284
Bi Te Pd
1 1 6
Direct
0.000 0.000 0.000 Bi
0.000 0.000 0.500 Te
0.000 0.500 0.252 Pd
0.000 0.500 0.748 Pd
0.500 0.000 0.252 Pd
0.500 0.000 0.748 Pd
0.500 0.500 0.000 Pd
0.500 0.500 0.500 Pd

5.
BiTePd3 PBE optimized geometry; total moment = 0.000 μB/f.u.; Fermi-level density of states = 6.81 states/eV per cell; space group = P-1; excess energy over the best structure of this formula in the dataset = 25 meV/atom
1.0
5.770 0.000 0.000
0.001 5.903 0.000
0.030 0.934 6.554
Bi Te Pd
2 2 6
Direct
0.002 0.213 0.286 Bi
0.998 0.787 0.714 Bi
0.498 0.708 0.279 Te
0.502 0.292 0.721 Te
0.000 0.302 0.686 Pd
0.000 0.698 0.314 Pd
0.253 0.000 0.998 Pd
0.257 0.501 0.998 Pd
0.743 0.499 0.002 Pd
0.747 0.000 0.002 Pd

6.
Bi2TePd PBE optimized geometry; total moment = 0.000 μB/f.u.; Fermi-level density of states = 2.41 states/eV per cell; DFT total energy = -4.145 eV/atom; space group = R3m
1.0
2.179 1.258 7.030
-2.179 1.258 7.030
0.000 -2.517 7.030
Bi Te Pd
2 1 1
Direct
0.000 0.000 0.000 Bi
0.207 0.207 0.207 Bi
0.768 0.768 0.768 Te
0.607 0.607 0.607 Pd

7.
Bi3TePd3 PBE optimized geometry; total moment = 0.000 μB/f.u.; Fermi-level density of states = 7.84 states/eV per cell; DFT total energy = -4.479 eV/atom; space group = C2/m
1.0
4.384 -5.496 0.000
4.384 5.496 0.000
-2.085 0.000 7.342
Bi Te Pd
6 2 6
Direct
0.150 0.850 0.000 Bi
0.234 0.766 0.500 Bi
0.341 0.341 0.798 Bi
0.659 0.659 0.202 Bi
0.766 0.234 0.500 Bi
0.850 0.150 0.000 Bi
0.293 0.293 0.353 Te
0.707 0.707 0.647 Te
0.013 0.013 0.688 Pd
0.223 0.517 0.111 Pd
0.483 0.777 0.889 Pd
0.517 0.223 0.111 Pd
0.777 0.483 0.889 Pd
0.987 0.987 0.312 Pd

8.
BiTe2Pd2 PBE optimized geometry; total moment = 0.000 μB/f.u.; Fermi-level density of states = 2.84 states/eV per cell; DFT total energy = -4.236 eV/atom; space group = I4/mmm
1.0
-1.984 1.984 7.768
1.984 -1.984 7.768
1.984 1.984 -7.768
Bi Te Pd
1 2 2
Direct
0.000 0.000 0.000 Bi
0.373 0.373 0.000 Te
0.627 0.627 0.000 Te
0.250 0.750 0.500 Pd
0.750 0.250 0.500 Pd